An optimized crystal structure of Mg3SbAs. Source: Alexandria, functional GGA-PBE.

The space group is Amm2 (No. 38) and the conventional cell measures 4.813, 7.455 and 7.268 Å, with angles of 90.00, 90.00 and 90.00 degrees. The distinct sites, in fractional coordinates, are Mg at (0.000, 0.000, 0.000), Mg at (0.500, 0.197, 0.775), Sb at (0.000, 0.000, 0.605) and As at (0.500, 0.000, 0.107).

The raw formation energy comes out at -1.66 eV per formula unit. The crystal system is orthorhombic. Its total magnetization is 0.0 μB/cell. For the calculated density, the calculation gives 3.434 g/cm3. The calculation puts the energy above the most stable polymorph in this dataset at 0.00 eV/f.u.